Entry 1:
DFT (PBE) results for an optimized crystal structure of NaH4Se.

Properties
crystal system	monoclinic
final energy	-2.8885	eV/atom

Cell and atoms, written as CIF:
```
data_NaH4Se
_space_group_name_H-M_alt 'C 1 2/m 1'
_space_group_IT_number 12
_space_group_name_Hall '-C 2y'
_cell_length_a 7.2917
_cell_length_b 4.4473
_cell_length_c 6.1195
_cell_angle_alpha 90.00
_cell_angle_beta 124.90
_cell_angle_gamma 90.00
loop_
_atom_site_label
_atom_site_type_symbol
_atom_site_fract_x
_atom_site_fract_y
_atom_site_fract_z
_atom_site_occupancy
Na1 Na 0.0000 0.0000 0.0000 1
H1 H 0.0000 0.3967 0.5000 1
H2 H 0.2404 0.5000 0.1724 1
Se1 Se 0.0000 0.0000 0.5000 1
```

---

Entry 2:
DFT (PBE) results for an optimized crystal structure of RePt2Br.

Properties
crystal system	tetragonal
ΔE_f (raw)	0.83	eV per atom
offset from the most stable computed form	605	meV/atom

Cell and atoms, written as CIF:
```
data_RePt2Br
_space_group_name_H-M_alt 'I -4 2 d'
_space_group_IT_number 122
_space_group_name_Hall 'I -4 2bw'
_cell_length_a 6.5236
_cell_length_b 6.5236
_cell_length_c 8.8075
_cell_angle_alpha 90.00
_cell_angle_beta 90.00
_cell_angle_gamma 90.00
loop_
_atom_site_label
_atom_site_type_symbol
_atom_site_fract_x
_atom_site_fract_y
_atom_site_fract_z
_atom_site_occupancy
Re1 Re 0.0000 0.0000 0.0000 1
Pt1 Pt 0.2146 0.2500 0.1250 1
Br1 Br 0.0000 0.0000 0.5000 1
```

---

Entry 3:
DFT (PBE) results for an optimized crystal structure of YSiNi.

Properties
crystal system	orthorhombic
ΔE_f (raw)	-0.65	eV per atom

Cell and atoms, written as CIF:
```
data_YSiNi
_space_group_name_H-M_alt 'C m c m'
_space_group_IT_number 63
_space_group_name_Hall '-C 2c 2'
_cell_length_a 3.9167
_cell_length_b 9.9886
_cell_length_c 5.2033
_cell_angle_alpha 90.00
_cell_angle_beta 90.00
_cell_angle_gamma 90.00
loop_
_atom_site_label
_atom_site_type_symbol
_atom_site_fract_x
_atom_site_fract_y
_atom_site_fract_z
_atom_site_occupancy
Y1 Y 0.0000 0.2067 0.2500 1
Si1 Si 0.0000 0.5000 0.0000 1
Ni1 Ni 0.0000 0.0724 0.7500 1
```